Entry P
# Hf2HIr PBE optimized geometry
# * total magnetization: 0.00 μB/f.u.
data_Hf2HIr
_chemical_formula_sum 'Hf4 H2 Ir2'
_symmetry_space_group_name_H-M 'P 1'
_symmetry_Int_Tables_number 1
_cell_length_a 6.173
_cell_length_b 6.173
_cell_length_c 5.456
_cell_angle_alpha 55.55
_cell_angle_beta 55.55
_cell_angle_gamma 90.00
loop_
_symmetry_equiv_pos_as_xyz
'x,y,z'
loop_
_atom_site_label
_atom_site_type_symbol
_atom_site_fract_x
_atom_site_fract_y
_atom_site_fract_z
_atom_site_occupancy
H1 H 0.500 0.500 0.000 1
H2 H 0.250 0.750 0.500 1
Ir1 Ir 0.000 0.000 0.000 1
Ir2 Ir 0.750 0.250 0.500 1
Hf1 Hf 0.553 0.125 0.250 1
Hf2 Hf 0.197 0.625 0.250 1
Hf3 Hf 0.375 0.447 0.750 1
Hf4 Hf 0.875 0.803 0.750 1

Entry Q
# Hf2HIr PBE optimized geometry
# * total magnetization: 0.00 μB/f.u.
data_Hf2HIr
_chemical_formula_sum 'Hf2 H1 Ir1'
_symmetry_space_group_name_H-M 'P 1'
_symmetry_Int_Tables_number 1
_cell_length_a 4.502
_cell_length_b 4.502
_cell_length_c 4.502
_cell_angle_alpha 60.00
_cell_angle_beta 60.00
_cell_angle_gamma 60.00
loop_
_symmetry_equiv_pos_as_xyz
'x,y,z'
loop_
_atom_site_label
_atom_site_type_symbol
_atom_site_fract_x
_atom_site_fract_y
_atom_site_fract_z
_atom_site_occupancy
H1 H 0.000 0.000 0.000 1
Ir1 Ir 0.500 0.500 0.500 1
Hf1 Hf 0.250 0.250 0.250 1
Hf2 Hf 0.750 0.750 0.750 1

Unit: kJ/mol of atoms. Relative energies: entry P 0.0; entry Q 19.5.

Entry P
# HfHIr3 PBE optimized geometry
# * total magnetization: 2.08 μB/f.u.
data_HfHIr3
_chemical_formula_sum 'Hf1 H1 Ir3'
_symmetry_space_group_name_H-M 'P 1'
_symmetry_Int_Tables_number 1
_cell_length_a 4.882
_cell_length_b 4.882
_cell_length_c 4.882
_cell_angle_alpha 90.00
_cell_angle_beta 90.00
_cell_angle_gamma 90.00
loop_
_symmetry_equiv_pos_as_xyz
'x,y,z'
loop_
_atom_site_label
_atom_site_type_symbol
_atom_site_fract_x
_atom_site_fract_y
_atom_site_fract_z
_atom_site_occupancy
H1 H 0.500 0.500 0.500 1
Ir1 Ir 0.000 0.500 0.000 1
Ir2 Ir 0.500 0.000 0.000 1
Ir3 Ir 0.000 0.000 0.500 1
Hf1 Hf 0.000 0.000 0.000 1

Entry Q
# HfHIr3 PBE optimized geometry
# * total magnetization: 0.00 μB/f.u.
data_HfHIr3
_chemical_formula_sum 'Hf1 H1 Ir3'
_symmetry_space_group_name_H-M 'P 1'
_symmetry_Int_Tables_number 1
_cell_length_a 4.013
_cell_length_b 4.013
_cell_length_c 4.013
_cell_angle_alpha 90.00
_cell_angle_beta 90.00
_cell_angle_gamma 90.00
loop_
_symmetry_equiv_pos_as_xyz
'x,y,z'
loop_
_atom_site_label
_atom_site_type_symbol
_atom_site_fract_x
_atom_site_fract_y
_atom_site_fract_z
_atom_site_occupancy
H1 H 0.000 0.000 0.000 1
Ir1 Ir 0.000 0.500 0.000 1
Ir2 Ir 0.000 0.000 0.500 1
Ir3 Ir 0.500 0.000 0.000 1
Hf1 Hf 0.500 0.500 0.500 1

Unit: kJ/mol of atoms. Relative energies: entry P 271.1; entry Q 0.0.

Entry P
# Hf3HIr PBE optimized geometry
# * total magnetization: 0.00 μB/f.u.
data_Hf3HIr
_chemical_formula_sum 'Hf12 H4 Ir4'
_symmetry_space_group_name_H-M 'P 1'
_symmetry_Int_Tables_number 1
_cell_length_a 4.625
_cell_length_b 8.769
_cell_length_c 8.769
_cell_angle_alpha 104.95
_cell_angle_beta 90.00
_cell_angle_gamma 90.00
loop_
_symmetry_equiv_pos_as_xyz
'x,y,z'
loop_
_atom_site_label
_atom_site_type_symbol
_atom_site_fract_x
_atom_site_fract_y
_atom_site_fract_z
_atom_site_occupancy
Hf1 Hf 0.511 0.182 0.015 1
Hf2 Hf 0.011 0.015 0.182 1
Hf3 Hf 0.989 0.985 0.818 1
Hf4 Hf 0.489 0.818 0.985 1
Hf5 Hf 0.011 0.318 0.485 1
Hf6 Hf 0.511 0.485 0.318 1
Hf7 Hf 0.489 0.515 0.682 1
Hf8 Hf 0.989 0.682 0.515 1
Hf9 Hf 0.000 0.642 0.142 1
Hf10 Hf 0.500 0.142 0.642 1
Hf11 Hf 0.500 0.858 0.358 1
Hf12 Hf 0.000 0.358 0.858 1
H1 H 0.250 0.671 0.329 1
H2 H 0.250 0.171 0.829 1
H3 H 0.750 0.329 0.671 1
H4 H 0.750 0.829 0.171 1
Ir1 Ir 0.001 0.332 0.168 1
Ir2 Ir 0.501 0.168 0.332 1
Ir3 Ir 0.499 0.832 0.668 1
Ir4 Ir 0.999 0.668 0.832 1

Entry Q
# Hf3HIr PBE optimized geometry
# * total magnetization: 1.15 μB/f.u.
data_Hf3HIr
_chemical_formula_sum 'Hf3 H1 Ir1'
_symmetry_space_group_name_H-M 'P 1'
_symmetry_Int_Tables_number 1
_cell_length_a 5.053
_cell_length_b 5.053
_cell_length_c 5.053
_cell_angle_alpha 90.00
_cell_angle_beta 90.00
_cell_angle_gamma 90.00
loop_
_symmetry_equiv_pos_as_xyz
'x,y,z'
loop_
_atom_site_label
_atom_site_type_symbol
_atom_site_fract_x
_atom_site_fract_y
_atom_site_fract_z
_atom_site_occupancy
H1 H 0.500 0.500 0.500 1
Ir1 Ir 0.000 0.000 0.000 1
Hf1 Hf 0.000 0.500 0.000 1
Hf2 Hf 0.000 0.000 0.500 1
Hf3 Hf 0.500 0.000 0.000 1

Unit: kJ/mol of atoms. Relative energies: entry P 0.0; entry Q 130.0.

Entry P
# HfHIr2Pd PBE optimized geometry
# * total magnetization: 0.00 μB/f.u.
data_HfHIr2Pd
_chemical_formula_sum 'Hf1 H1 Ir2 Pd1'
_symmetry_space_group_name_H-M 'P 1'
_symmetry_Int_Tables_number 1
_cell_length_a 4.048
_cell_length_b 4.048
_cell_length_c 3.997
_cell_angle_alpha 90.00
_cell_angle_beta 90.00
_cell_angle_gamma 90.00
loop_
_symmetry_equiv_pos_as_xyz
'x,y,z'
loop_
_atom_site_label
_atom_site_type_symbol
_atom_site_fract_x
_atom_site_fract_y
_atom_site_fract_z
_atom_site_occupancy
H1 H 0.000 0.000 0.000 1
Ir1 Ir 0.000 0.500 0.000 1
Ir2 Ir 0.500 0.000 0.000 1
Hf1 Hf 0.500 0.500 0.500 1
Pd1 Pd 0.000 0.000 0.500 1

Entry Q
# HfHIr2Pd PBE optimized geometry
# * total magnetization: 0.00 μB/f.u.
data_HfHIr2Pd
_chemical_formula_sum 'Hf1 H1 Ir2 Pd1'
_symmetry_space_group_name_H-M 'P 1'
_symmetry_Int_Tables_number 1
_cell_length_a 3.984
_cell_length_b 3.984
_cell_length_c 4.131
_cell_angle_alpha 90.00
_cell_angle_beta 90.00
_cell_angle_gamma 90.00
loop_
_symmetry_equiv_pos_as_xyz
'x,y,z'
loop_
_atom_site_label
_atom_site_type_symbol
_atom_site_fract_x
_atom_site_fract_y
_atom_site_fract_z
_atom_site_occupancy
H1 H 0.000 0.000 0.000 1
Ir1 Ir 0.000 0.500 0.000 1
Ir2 Ir 0.500 0.000 0.000 1
Hf1 Hf 0.000 0.000 0.500 1
Pd1 Pd 0.500 0.500 0.500 1

Unit: kJ/mol of atoms. Relative energies: entry P 0.0; entry Q 4.6.

Entry P
# HfHIr2Pt PBE optimized geometry
# * total magnetization: 0.00 μB/f.u.
data_HfHIr2Pt
_chemical_formula_sum 'Hf1 H1 Ir2 Pt1'
_symmetry_space_group_name_H-M 'P 1'
_symmetry_Int_Tables_number 1
_cell_length_a 3.989
_cell_length_b 3.989
_cell_length_c 4.128
_cell_angle_alpha 90.00
_cell_angle_beta 90.00
_cell_angle_gamma 90.00
loop_
_symmetry_equiv_pos_as_xyz
'x,y,z'
loop_
_atom_site_label
_atom_site_type_symbol
_atom_site_fract_x
_atom_site_fract_y
_atom_site_fract_z
_atom_site_occupancy
H1 H 0.000 0.000 0.000 1
Ir1 Ir 0.000 0.500 0.000 1
Ir2 Ir 0.500 0.000 0.000 1
Hf1 Hf 0.000 0.000 0.500 1
Pt1 Pt 0.500 0.500 0.500 1

Entry Q
# HfHIr2Pt PBE optimized geometry
# * total magnetization: 0.00 μB/f.u.
data_HfHIr2Pt
_chemical_formula_sum 'Hf1 H1 Ir2 Pt1'
_symmetry_space_group_name_H-M 'P 1'
_symmetry_Int_Tables_number 1
_cell_length_a 4.058
_cell_length_b 4.058
_cell_length_c 3.998
_cell_angle_alpha 90.00
_cell_angle_beta 90.00
_cell_angle_gamma 90.00
loop_
_symmetry_equiv_pos_as_xyz
'x,y,z'
loop_
_atom_site_label
_atom_site_type_symbol
_atom_site_fract_x
_atom_site_fract_y
_atom_site_fract_z
_atom_site_occupancy
H1 H 0.000 0.000 0.000 1
Ir1 Ir 0.000 0.500 0.000 1
Ir2 Ir 0.500 0.000 0.000 1
Hf1 Hf 0.500 0.500 0.500 1
Pt1 Pt 0.000 0.000 0.500 1

Unit: kJ/mol of atoms. Relative energies: entry P 1.0; entry Q 0.0.

Entry P
# Hf2HIrRh PBE optimized geometry
# * total magnetization: 0.00 μB/f.u.
data_Hf2HIrRh
_chemical_formula_sum 'Hf2 H1 Ir1 Rh1'
_symmetry_space_group_name_H-M 'P 1'
_symmetry_Int_Tables_number 1
_cell_length_a 4.385
_cell_length_b 4.385
_cell_length_c 3.750
_cell_angle_alpha 90.00
_cell_angle_beta 90.00
_cell_angle_gamma 90.00
loop_
_symmetry_equiv_pos_as_xyz
'x,y,z'
loop_
_atom_site_label
_atom_site_type_symbol
_atom_site_fract_x
_atom_site_fract_y
_atom_site_fract_z
_atom_site_occupancy
Rh1 Rh 0.500 0.500 0.500 1
Ir1 Ir 0.000 0.000 0.500 1
Hf1 Hf 0.000 0.500 0.000 1
Hf2 Hf 0.500 0.000 0.000 1
H1 H 0.000 0.000 0.000 1

Entry Q
# Hf2HIrRh PBE optimized geometry
# * total magnetization: 0.00 μB/f.u.
data_Hf2HIrRh
_chemical_formula_sum 'Hf2 H1 Ir1 Rh1'
_symmetry_space_group_name_H-M 'P 1'
_symmetry_Int_Tables_number 1
_cell_length_a 4.425
_cell_length_b 4.425
_cell_length_c 3.673
_cell_angle_alpha 90.00
_cell_angle_beta 90.00
_cell_angle_gamma 90.00
loop_
_symmetry_equiv_pos_as_xyz
'x,y,z'
loop_
_atom_site_label
_atom_site_type_symbol
_atom_site_fract_x
_atom_site_fract_y
_atom_site_fract_z
_atom_site_occupancy
Rh1 Rh 0.000 0.000 0.500 1
Ir1 Ir 0.500 0.500 0.500 1
Hf1 Hf 0.000 0.500 0.000 1
Hf2 Hf 0.500 0.000 0.000 1
H1 H 0.000 0.000 0.000 1

Unit: kJ/mol of atoms. Relative energies: entry P 3.4; entry Q 0.0.